1.
! BP3RhC PBE-GGA optimized geometry; values from VASP
&SYSTEM
  ibrav = 0, nat = 6, ntyp = 4
/
ATOMIC_SPECIES
Rh 102.91 Rh.upf
P 30.97 P.upf
C 12.01 C.upf
B 10.81 B.upf
CELL_PARAMETERS angstrom
3.1101 0.0048 -0.0327
-0.0326 4.6006 -0.0120
-0.8822 -1.5307 5.6884
ATOMIC_POSITIONS crystal
Rh 0.9455 0.7034 0.4424
P 0.9722 0.2314 0.5395
P 0.1562 0.2838 0.1557
P 0.5301 0.7541 0.7360
C 0.5184 0.3509 0.7478
B 0.6015 0.1759 0.9538
! Energy above the lowest structure with this stoichiometry   0.0712 eV/atom
! Symmetry   P1
! ΔH_f (0 K)   0.0900 eV/atom
! Density of states at the Fermi level   0.93 states/eV/cell

---

2.
! PrNd3Mg6 PBE-GGA optimized geometry; values from VASP
&SYSTEM
  ibrav = 0, nat = 20, ntyp = 3
/
ATOMIC_SPECIES
Nd 144.24 Nd.upf
Mg 24.30 Mg.upf
Pr 140.91 Pr.upf
CELL_PARAMETERS angstrom
-4.0135 -2.0410 -2.9371
-0.3306 -7.5813 5.7199
-7.2397 7.6662 4.5656
ATOMIC_POSITIONS crystal
Nd 0.7500 0.4634 0.6053
Nd 0.2500 0.5366 0.3947
Nd 0.7500 0.2432 0.9952
Nd 0.7500 0.6490 0.2060
Nd 0.2500 0.7568 0.0048
Nd 0.2500 0.3510 0.7940
Mg 0.2500 0.6610 0.7088
Mg 0.2500 0.8569 0.3027
Mg 0.7500 0.3390 0.2912
Mg 0.7500 0.7573 0.5093
Mg 0.7500 0.1431 0.6973
Mg 0.2500 0.4406 0.0985
Mg 0.7500 0.8543 0.8061
Mg 0.2500 0.0476 0.9033
Mg 0.7500 0.5594 0.9015
Mg 0.2500 0.2427 0.4907
Mg 0.7500 0.9524 0.0967
Mg 0.2500 0.1457 0.1939
Pr 0.7500 0.0534 0.3920
Pr 0.2500 0.9466 0.6080
! Symmetry   P2_1/m
! ΔH_f (0 K)   -0.0906 eV/atom
! Density of states at the Fermi level   18.15 states/eV/cell

---

3.
! ErAl3Au2 PBE-GGA optimized geometry; values from VASP
&SYSTEM
  ibrav = 0, nat = 18, ntyp = 3
/
ATOMIC_SPECIES
Au 196.97 Au.upf
Er 167.26 Er.upf
Al 26.98 Al.upf
CELL_PARAMETERS angstrom
4.1823 0.0000 0.0000
-2.0911 8.0650 -2.4469
0.0000 0.2208 10.1319
ATOMIC_POSITIONS crystal
Au 0.6446 0.2892 0.4644
Au 0.8018 0.6036 0.8782
Au 0.1982 0.3964 0.1218
Au 0.5287 0.0573 0.7857
Au 0.3554 0.7108 0.5356
Au 0.4713 0.9427 0.2143
Er 0.8428 0.6855 0.2941
Er 0.0000 0.0000 0.0000
Er 0.1572 0.3145 0.7059
Al 0.6249 0.2498 0.1973
Al 0.6695 0.3389 0.9600
Al 0.5000 0.0000 0.5000
Al 0.2125 0.4249 0.3817
Al 0.3751 0.7502 0.8027
Al 0.3305 0.6611 0.0400
Al 0.7875 0.5751 0.6183
Al 0.0411 0.0821 0.3576
Al 0.9589 0.9179 0.6424
! Symmetry   C2/m
! ΔH_f (0 K)   -0.6049 eV/atom
! Density of states at the Fermi level   5.97 states/eV/cell

---

4.
! FePAu2 PBE-GGA optimized geometry; values from VASP
&SYSTEM
  ibrav = 0, nat = 4, ntyp = 3
/
ATOMIC_SPECIES
Au 196.97 Au.upf
P 30.97 P.upf
Fe 55.84 Fe.upf
CELL_PARAMETERS angstrom
-3.1284 -1.1608 2.0364
1.5625 -3.5643 0.3685
1.8985 1.2047 3.6033
ATOMIC_POSITIONS crystal
Au 0.0000 0.0000 0.0000
Au 0.5000 0.5000 0.0000
P 0.0000 0.5000 0.5000
Fe 0.5000 0.0000 0.5000
! Symmetry   P4/mmm
! ΔH_f (0 K)   0.3574 eV/atom
! Density of states at the Fermi level   3.91 states/eV/cell

---

5.
! RbTaB2O6 PBE-GGA optimized geometry; values from VASP
&SYSTEM
  ibrav = 0, nat = 20, ntyp = 4
/
ATOMIC_SPECIES
Rb 85.47 Rb.upf
O 16.00 O.upf
Ta 180.95 Ta.upf
B 10.81 B.upf
CELL_PARAMETERS angstrom
-0.1971 -1.3002 3.7230
5.9181 -4.5532 -1.2769
6.0856 7.1220 2.8094
ATOMIC_POSITIONS crystal
Rb 0.4659 0.5000 0.8900
Rb 0.5341 0.0000 0.3900
O 0.9095 0.1906 0.1345
O 0.9208 0.8196 0.8442
O 0.0905 0.3094 0.6345
O 0.4092 0.0000 0.9980
O 0.0792 0.6804 0.3442
O 0.0792 0.3196 0.3442
O 0.0316 0.0000 0.6435
O 0.9208 0.1804 0.8442
O 0.5908 0.5000 0.4980
O 0.9684 0.5000 0.1435
O 0.0905 0.6906 0.6345
O 0.9095 0.8094 0.1345
Ta 0.1166 0.5000 0.4980
Ta 0.8834 0.0000 0.9980
B 0.9894 0.3354 0.2103
B 0.0106 0.8354 0.7103
B 0.0106 0.1646 0.7103
B 0.9894 0.6646 0.2103
! Energy above the lowest structure with this stoichiometry   0.0000 eV/atom
! Symmetry   Pmn2_1
! Density of states at the Fermi level   0.00 states/eV/cell
! Formation energy without anion corrections   -2.594 eV/atom

---

6.
! Np6U PBE-GGA optimized geometry; values from VASP
&SYSTEM
  ibrav = 0, nat = 7, ntyp = 2
/
ATOMIC_SPECIES
Np 237.00 Np.upf
U 238.03 U.upf
CELL_PARAMETERS angstrom
5.9074 0.0000 0.0000
-1.9691 5.5695 0.0000
-1.9691 -2.7848 4.8233
ATOMIC_POSITIONS crystal
Np 0.2500 0.5000 0.7500
Np 0.5000 0.7500 0.2500
Np 0.7500 0.5000 0.2500
Np 0.7500 0.2500 0.5000
Np 0.2500 0.7500 0.5000
Np 0.5000 0.2500 0.7500
U 0.0000 0.0000 0.0000
! Symmetry   Im-3m
! ΔH_f (0 K)   0.5807 eV/atom
! Density of states at the Fermi level   17.61 states/eV/cell

---

7.
! ErNbTc PBE-GGA optimized geometry; values from VASP
&SYSTEM
  ibrav = 0, nat = 3, ntyp = 3
/
ATOMIC_SPECIES
Nb 92.91 Nb.upf
Tc 98.00 Tc.upf
Er 167.26 Er.upf
CELL_PARAMETERS angstrom
-2.0200 2.3231 1.1897
1.0913 -0.6149 3.0535
4.3647 2.8674 -2.7662
ATOMIC_POSITIONS crystal
Nb 0.3074 0.3074 0.6147
Tc 0.6848 0.6848 0.3695
Er 0.0079 0.0079 0.0157
! Symmetry   I4mm
! ΔH_f (0 K)   -0.0862 eV/atom
! Density of states at the Fermi level   3.29 states/eV/cell

---

8.
! RbReSb2I PBE-GGA optimized geometry; values from VASP
&SYSTEM
  ibrav = 0, nat = 5, ntyp = 4
/
ATOMIC_SPECIES
Rb 85.47 Rb.upf
I 126.90 I.upf
Sb 121.76 Sb.upf
Re 186.21 Re.upf
CELL_PARAMETERS angstrom
-0.8723 -5.0413 0.5783
4.6642 -0.5654 2.1061
-2.4859 1.0954 5.7995
ATOMIC_POSITIONS crystal
Rb 0.5000 0.5000 0.5000
I 0.0000 0.0000 0.5000
Sb 0.0000 0.5000 0.0000
Sb 0.5000 0.0000 0.0000
Re 0.0000 0.0000 0.0000
! Energy above the lowest structure with this stoichiometry   0.0000 eV/atom
! Symmetry   P4/mmm
! Density of states at the Fermi level   2.86 states/eV/cell
! Formation energy without anion corrections   0.141 eV/atom

---

9.
! LaCrIr2 PBE-GGA optimized geometry; values from VASP
&SYSTEM
  ibrav = 0, nat = 4, ntyp = 3
/
ATOMIC_SPECIES
Cr 52.00 Cr.upf
Ir 192.22 Ir.upf
La 138.91 La.upf
CELL_PARAMETERS angstrom
-0.0581 0.3057 9.7696
-2.7085 -0.6665 9.3681
-0.5167 -2.4891 9.4381
ATOMIC_POSITIONS crystal
Cr 0.7376 0.7376 0.7376
Ir 0.2584 0.2584 0.2584
Ir 0.0046 0.0046 0.0046
La 0.4994 0.4994 0.4994
! Energy above the lowest structure with this stoichiometry   0.7639 eV/atom
! Symmetry   R3m
! ΔH_f (0 K)   0.5388 eV/atom
! Density of states at the Fermi level   6.15 states/eV/cell

---

10.
! DyY2ScAs4 PBE-GGA optimized geometry; values from VASP
&SYSTEM
  ibrav = 0, nat = 8, ntyp = 4
/
ATOMIC_SPECIES
As 74.92 As.upf
Y 88.91 Y.upf
Sc 44.96 Sc.upf
Dy 162.50 Dy.upf
CELL_PARAMETERS angstrom
4.0692 0.0000 0.0000
0.0000 7.0383 0.1218
0.0000 -2.4622 6.5959
ATOMIC_POSITIONS crystal
As 0.5000 0.7599 0.7603
As 0.0000 0.7546 0.2446
As 0.5000 0.2401 0.2397
As 0.0000 0.2454 0.7554
Y 0.5000 0.0000 0.5000
Y 0.0000 0.5000 0.5000
Sc 0.0000 0.0000 0.0000
Dy 0.5000 0.5000 0.0000
! Symmetry   P2/m
! ΔH_f (0 K)   -1.4903 eV/atom
! Density of states at the Fermi level   1.00 states/eV/cell

---

11.
! AcLa8Tl2 PBE-GGA optimized geometry; values from VASP
&SYSTEM
  ibrav = 0, nat = 11, ntyp = 3
/
ATOMIC_SPECIES
Tl 204.38 Tl.upf
La 138.91 La.upf
Ac 227.00 Ac.upf
CELL_PARAMETERS angstrom
-0.5416 -3.5325 4.9438
8.6044 2.7303 0.6422
-6.6174 6.0283 1.3312
ATOMIC_POSITIONS crystal
Tl 0.0000 0.3080 0.6920
Tl 0.0000 0.6920 0.3080
La 0.5000 0.7695 0.2305
La 0.1076 0.3089 0.0824
La 0.8924 0.6911 0.9176
La 0.5000 0.2305 0.7695
La 0.8924 0.9176 0.6911
La 0.1076 0.0824 0.3089
La 0.7025 0.4126 0.4126
La 0.2975 0.5874 0.5874
Ac 0.5000 0.0000 0.0000
! Symmetry   C2/m
! ΔH_f (0 K)   -0.0673 eV/atom
! Density of states at the Fermi level   13.56 states/eV/cell

---

12.
! LaTa2Cu PBE-GGA optimized geometry; values from VASP
&SYSTEM
  ibrav = 0, nat = 4, ntyp = 3
/
ATOMIC_SPECIES
Ta 180.95 Ta.upf
La 138.91 La.upf
Cu 63.55 Cu.upf
CELL_PARAMETERS angstrom
-2.2646 -4.8880 2.0108
0.5167 -4.8697 3.0138
-1.6904 1.1560 4.6663
ATOMIC_POSITIONS crystal
Ta 0.5333 0.5333 0.4613
Ta 0.9667 0.9667 0.0387
La 0.7500 0.7500 0.7500
Cu 0.2500 0.2500 0.2500
! Energy above the lowest structure with this stoichiometry   0.0948 eV/atom
! Symmetry   C2/m
! ΔH_f (0 K)   0.3480 eV/atom
! Density of states at the Fermi level   4.84 states/eV/cell